Compound: CrSi2Pb
Source: Alexandria via LeMat-Bulk
Functional: PBE-GGA
Structure: relaxed

a = 3.495 Å, b = 6.284 Å, c = 6.284 Å
α = 33.05°, β = 90.00°, γ = 90.00°
Fractional coordinates of all 4 atoms:
Cr: 0.000 0.000 0.000
Si: 0.000 0.634 0.634
Si: 0.500 0.144 0.144
Pb: 0.500 0.374 0.374

Values from the calculation:
symmetry = No. 38
spin magnetization = 0.493 μB per atom
VASP energy = -5.695 eV/atom
formation energy (no corrections) = 0.35 eV/atom
theoretical density = 7.0 g/cm³

Compound: CrSi2Pb
Source: Alexandria via LeMat-Bulk
Functional: PBE-GGA
Structure: relaxed

a = 7.298 Å, b = 7.298 Å, c = 7.298 Å
α = 28.97°, β = 28.97°, γ = 28.97°
Fractional coordinates of all 4 atoms:
Cr: 0.000 0.000 0.000
Si: 0.269 0.269 0.269
Si: 0.548 0.548 0.548
Pb: 0.769 0.769 0.769

Values from the calculation:
symmetry = No. 160
spin magnetization = 0.773 μB per atom
VASP energy = -5.591 eV/atom
formation energy (no corrections) = 0.45 eV/atom
theoretical density = 6.5 g/cm³

Compound: Cr2SiPb
Source: Alexandria via LeMat-Bulk
Functional: PBE-GGA
Structure: relaxed

a = 4.742 Å, b = 4.742 Å, c = 4.742 Å
α = 127.23°, β = 127.23°, γ = 77.88°
Fractional coordinates of all 4 atoms:
Cr: 0.250 0.750 0.500
Cr: 0.750 0.250 0.500
Si: 0.000 0.000 0.000
Pb: 0.500 0.500 0.000

Values from the calculation:
symmetry = No. 139
spin magnetization = 1.286 μB per atom
VASP energy = -6.498 eV/atom
formation energy (no corrections) = 0.60 eV/atom
theoretical density = 8.6 g/cm³

Compound: CrSi2Pb
Source: Alexandria via LeMat-Bulk
Functional: PBE-GGA
Structure: relaxed

a = 5.158 Å, b = 5.158 Å, c = 5.158 Å
α = 139.02°, β = 121.70°, γ = 73.72°
Fractional coordinates of all 4 atoms:
Cr: 0.000 0.000 0.000
Si: 0.223 0.723 0.500
Si: 0.777 0.277 0.500
Pb: 0.500 0.500 0.000

Values from the calculation:
symmetry = No. 71
spin magnetization = 0.680 μB per atom
VASP energy = -5.430 eV/atom
formation energy (no corrections) = 0.61 eV/atom
theoretical density = 7.0 g/cm³

Compound: CrSi2Pb
Source: Alexandria via LeMat-Bulk
Functional: PBE-GGA
Structure: relaxed

a = 3.094 Å, b = 3.094 Å, c = 7.327 Å
α = 90.00°, β = 90.00°, γ = 90.00°
Fractional coordinates of all 4 atoms:
Cr: 0.000 0.000 0.000
Si: 0.500 0.500 0.170
Si: 0.500 0.500 0.830
Pb: 0.000 0.000 0.500

Values from the calculation:
symmetry = No. 123
spin magnetization = 0.269 μB per atom
VASP energy = -5.789 eV/atom
formation energy (no corrections) = 0.26 eV/atom
theoretical density = 7.5 g/cm³

Compound: CrSi2Pb
Source: Alexandria via LeMat-Bulk
Functional: PBE-GGA
Structure: relaxed

a = 5.179 Å, b = 5.179 Å, c = 5.179 Å
α = 131.85°, β = 131.85°, γ = 70.47°
Fractional coordinates of all 4 atoms:
Cr: 0.000 0.000 0.000
Si: 0.250 0.750 0.500
Si: 0.750 0.250 0.500
Pb: 0.500 0.500 0.000

Values from the calculation:
symmetry = No. 139
spin magnetization = 0.903 μB per atom
VASP energy = -5.392 eV/atom
formation energy (no corrections) = 0.65 eV/atom
theoretical density = 6.9 g/cm³

Compound: Cr3SiPb
Source: Alexandria via LeMat-Bulk
Functional: PBE-GGA
Structure: relaxed

a = 5.127 Å, b = 5.127 Å, c = 5.127 Å
α = 90.00°, β = 90.00°, γ = 90.00°
Fractional coordinates of all 5 atoms:
Cr: 0.000 0.000 0.500
Cr: 0.000 0.500 0.000
Cr: 0.500 0.000 0.000
Si: 0.500 0.500 0.500
Pb: 0.000 0.000 0.000

Values from the calculation:
symmetry = No. 221
spin magnetization = 2.289 μB per atom
VASP energy = -5.868 eV/atom
formation energy (no corrections) = 1.73 eV/atom
theoretical density = 4.8 g/cm³

Compound: CrSi2Pb
Source: Alexandria via LeMat-Bulk
Functional: PBE-GGA
Structure: relaxed

a = 4.779 Å, b = 4.779 Å, c = 4.779 Å
α = 60.00°, β = 60.00°, γ = 60.00°
Fractional coordinates of all 4 atoms:
Cr: 0.000 0.000 0.000
Si: 0.500 0.500 0.500
Si: 0.750 0.750 0.750
Pb: 0.250 0.250 0.250

Values from the calculation:
symmetry = No. 216
spin magnetization = 0.937 μB per atom
VASP energy = -5.305 eV/atom
formation energy (no corrections) = 0.74 eV/atom
theoretical density = 6.8 g/cm³

Repeat the seventh record exactly.
Compound: Cr3SiPb
Source: Alexandria via LeMat-Bulk
Functional: PBE-GGA
Structure: relaxed

a = 5.127 Å, b = 5.127 Å, c = 5.127 Å
α = 90.00°, β = 90.00°, γ = 90.00°
Fractional coordinates of all 5 atoms:
Cr: 0.000 0.000 0.500
Cr: 0.000 0.500 0.000
Cr: 0.500 0.000 0.000
Si: 0.500 0.500 0.500
Pb: 0.000 0.000 0.000

Values from the calculation:
symmetry = No. 221
spin magnetization = 2.289 μB per atom
VASP energy = -5.868 eV/atom
formation energy (no corrections) = 1.73 eV/atom
theoretical density = 4.8 g/cm³

> Look up the spin magnetization of the fourth one.

0.680 μB per atom

> What is the formation energy (no corrections) in the seventh record?

1.73 eV/atom